SnPb3F: optimized geometry, PBEsol.

Lattice parameters (Å, degrees): 5.7613 5.7613 5.7613 90.00 90.00 90.00
With the nearest neighbours (Å) after each atom.
Fractional positions:
F 0.5000 0.5000 0.5000  12 Pb 4.07
Pb 0.0000 0.5000 0.0000  2 Sn 2.88
Sn 0.0000 0.0000 0.0000  6 Pb 2.88
Pb 0.0000 0.0000 0.5000  2 Sn 2.88
Pb 0.5000 0.0000 0.0000  2 Sn 2.88

Properties
Its space-group type is No. 221. The calculation puts the uncorrected formation energy at 151 kJ/mol of formula units.


Sr5Mg: optimized geometry, PBEsol.

Lattice parameters (Å, degrees): 4.6397 6.3012 9.6545 90.00 103.90 90.00
With the nearest neighbours (Å) after each atom.
Fractional positions:
Sr 0.1522 0.5000 0.3043  2 Mg 3.69, 4 Sr 3.92
Sr 0.3056 0.0000 0.6112  8 Sr 3.89-4.27, 4 Mg 3.91
Sr 0.6388 0.0000 0.2776  8 Sr 3.88-3.92
Sr 0.4588 0.5000 0.9175  2 Mg 3.69, 4 Sr 3.92
Sr 0.9726 0.0000 0.9451  8 Sr 3.88-3.92
Mg 0.8054 0.5000 0.6109  8 Sr 3.69-3.91

Properties
As for the formation energy: 29 meV/atom. Its space-group type is No. 65. The polymorph energy (0 for the lowest one) comes out at 3.93 kJ/mol of atoms.


LiTeO3: optimized geometry, PBEsol.

Lattice parameters (Å, degrees): 4.0106 4.0106 4.0106 90.00 90.00 90.00
With the nearest neighbours (Å) after each atom.
Fractional positions:
Li 0.5000 0.5000 0.5000  12 O 2.84
Te 0.0000 0.0000 0.0000  6 O 2.01
O 0.5000 0.0000 0.0000  2 Te 2.01
O 0.0000 0.0000 0.5000  2 Te 2.01
O 0.0000 0.5000 0.0000  2 Te 2.01

Properties
Its space-group type is No. 221. The calculation puts the uncorrected formation energy at -543 kJ/mol of formula units.


ZnCu2SnSe3S: optimized geometry, PBEsol.

Lattice parameters (Å, degrees): 5.5826 5.5874 6.8284 114.04 113.89 90.13
With the nearest neighbours (Å) after each atom.
Fractional positions:
S 0.3709 0.3636 0.2595  2 Cu 2.24, 1 Zn 2.34, 1 Sn 2.48
Se 0.8913 0.8998 0.2633  2 Cu 2.40, 1 Zn 2.46, 1 Sn 2.58
Se 0.6429 0.1055 0.7394  2 Cu 2.39-2.40, 1 Zn 2.45, 1 Sn 2.58
Cu 0.7277 0.2538 0.4869  1 S 2.24, 3 Se 2.39-2.40
Sn 0.4962 0.4941 0.0021  1 S 2.48, 3 Se 2.58
Se 0.0953 0.6286 0.7396  2 Cu 2.40, 1 Zn 2.44, 1 Sn 2.58
Cu 0.0212 0.0187 0.0145  1 S 2.24, 3 Se 2.40
Zn 0.2544 0.7359 0.4948  1 S 2.34, 3 Se 2.44-2.46

Properties
Its space-group type is No. 1. The calculation puts the uncorrected formation energy at -300 kJ/mol of formula units. The polymorph energy (0 for the lowest one) comes out at 0.00 kJ/mol of atoms.


FeAgPt2: optimized geometry, PBEsol.

Lattice parameters (Å, degrees): 3.2578 3.2578 5.6103 90.00 90.00 90.00
With the nearest neighbours (Å) after each atom.
Fractional positions:
Pt 0.0000 0.0000 0.9804  4 Fe 2.58, 1 Ag 2.68, 4 Pt 2.74
Fe 0.5000 0.5000 0.7720  5 Pt 2.58-2.65, 4 Ag 2.75
Pt 0.5000 0.5000 0.2440  2 Fe 2.65-2.96, 4 Ag 2.73, 4 Pt 2.74
Ag 0.0000 0.0000 0.5036  6 Pt 2.68-2.94, 4 Fe 2.75

Properties
As for the formation energy: 135 meV/atom. Its space-group type is No. 99.


GaPtI2O: optimized geometry, PBEsol.

Lattice parameters (Å, degrees): 3.4815 5.5140 5.5140 90.00 90.00 90.00
With the nearest neighbours (Å) after each atom.
Fractional positions:
Ga 0.0000 0.0000 0.0000  2 O 1.74
I 0.0000 0.5000 0.0000  2 Ga 2.76
Pt 0.5000 0.5000 0.5000  8 I 3.26, 2 Pt 3.48
I 0.0000 0.0000 0.5000  2 Ga 2.76
O 0.5000 0.0000 0.0000  2 Ga 1.74

Properties
Its space-group type is No. 123. The calculation puts the uncorrected formation energy at 37 kJ/mol of formula units.